Material: KRbTaTe4
Method: DFT, PBE-GGA
State: optimized geometry

* SG: No. 11
* raw formation energy: -0.59 eV per atom
* total magnetization: 0.00 μB/cell

Structure (extended XYZ):
```
14
Lattice="-3.736 3.573 -5.509 -2.881 -6.098 -2.001 -6.639 0.060 9.375" Properties=species:S:1:pos:R:3 pbc="T T T"
K -8.274 -1.686 -1.499
K -4.982 -0.779 3.363
Rb -10.801 -2.065 3.295
Rb -2.455 -0.400 -1.430
Ta -4.853 -3.838 0.135
Ta -8.403 1.373 1.730
Te -6.887 -2.911 5.986
Te -5.030 3.281 -3.191
Te -6.369 0.446 -4.121
Te -8.226 -5.746 5.055
Te -4.994 -2.964 -2.326
Te -8.262 0.499 4.191
Te -6.960 -3.309 1.556
Te -6.296 0.844 0.308
```